Li2TmInO4 | PBE | relaxed

Cell and atoms, written as POSCAR:
```
Li2TmInO4
1.0
5.394 0.000 0.000
0.000 3.284 0.000
-1.851 0.000 5.257
Li Tm In O
2 1 1 4
direct
0.000 0.000 0.000
0.000 0.500 0.500
0.500 0.000 0.500
0.500 0.500 0.000
0.260 0.000 0.762
0.262 0.500 0.260
0.738 0.500 0.740
0.740 0.000 0.238
```

## Properties
**ρ**: 6449 kg/m3
**V**: 11.640 Å³ per atom
**Uncorrected formation energy**: -2.30 eV per atom